# 1
{
  "formula": "ZrScBe4",
  "functional": "PBE",
  "state": "relaxed",
  "lattice": [[-0.040, 0.999, 4.682], [-2.431, 3.794, 1.617], [-4.004, -0.631, 2.548]],
  "species": ["Sc", "Zr", "Be", "Be", "Be", "Be"],
  "fractional_positions": [[0.250, 0.250, 0.250], [0.000, 0.000, 0.000], [0.627, 0.627, 0.120], [0.120, 0.627, 0.627], [0.627, 0.120, 0.627], [0.627, 0.627, 0.627]],
  "m_tot_mub_per_fu": 0.013,
  "e_form_mev_per_atom": -62,
  "spacegroup": "No. 216"
}

=====

# 2
{
  "formula": "Nb3PtC",
  "functional": "PBE",
  "state": "relaxed",
  "lattice": [[3.169, -0.408, 0.000], [-0.875, 5.711, 0.000], [0.000, 0.000, 8.724]],
  "species": ["Pt", "Nb", "C", "Nb", "Nb", "Nb", "C", "Nb", "Nb", "Pt"],
  "fractional_positions": [[0.245, 0.489, 0.750], [0.460, 0.920, 0.250], [0.500, 0.000, 0.000], [0.540, 0.080, 0.750], [0.128, 0.257, 0.453], [0.872, 0.743, 0.547], [0.500, 0.000, 0.500], [0.128, 0.257, 0.047], [0.872, 0.743, 0.953], [0.755, 0.511, 0.250]],
  "e_above_lowest_polymorph_mev_per_atom": 0,
  "m_tot_mub_per_fu": 0.000,
  "e_form_mev_per_atom": -510,
  "spacegroup": "No. 63"
}

=====

# 3
{
  "formula": "Nd2BiBr",
  "functional": "PBE",
  "state": "relaxed",
  "lattice": [[-4.289, 0.354, -0.768], [-1.703, -1.627, -3.683], [-3.210, -7.306, 2.116]],
  "species": ["Br", "Nd", "Bi", "Nd"],
  "fractional_positions": [[0.499, 0.499, 0.504], [0.079, 0.079, 0.763], [0.668, 0.668, 0.997], [0.254, 0.254, 0.237]],
  "e_above_lowest_polymorph_mev_per_atom": 18,
  "m_tot_mub_per_fu": 0.000,
  "spacegroup": "No. 160",
  "formation_energy_uncorrected_ev_per_fu": -3.9
}

=====

# 4
{
  "formula": "Pr3HgAu",
  "functional": "PBE",
  "state": "relaxed",
  "lattice": [[-0.562, -2.960, -2.737], [8.534, -3.546, 2.080], [0.149, -6.448, 6.942]],
  "species": ["Pr", "Au", "Pr", "Pr", "Pr", "Pr", "Au", "Hg", "Hg", "Pr"],
  "fractional_positions": [[0.863, 0.778, 0.440], [0.362, 0.694, 0.246], [0.864, 0.388, 0.830], [0.363, 0.350, 0.402], [0.364, 0.039, 0.091], [0.864, 0.000, 0.663], [0.364, 0.194, 0.747], [0.363, 0.694, 0.746], [0.863, 0.194, 0.247], [0.863, 0.610, 0.053]],
  "e_above_lowest_polymorph_mev_per_atom": 142,
  "m_tot_mub_per_fu": 0.000,
  "e_form_mev_per_atom": -326,
  "spacegroup": "No. 65"
}

=====

# 5
{
  "formula": "RbNa2NiAs",
  "functional": "PBE",
  "state": "relaxed",
  "lattice": [[5.559, 0.000, 0.000], [0.000, 5.559, 0.000], [0.000, 0.000, 4.469]],
  "species": ["Rb", "As", "Ni", "Na", "Na"],
  "fractional_positions": [[0.500, 0.500, 0.500], [0.000, 0.000, 0.500], [0.000, 0.000, 0.000], [0.000, 0.500, 0.000], [0.500, 0.000, 0.000]],
  "m_tot_mub_per_fu": 0.001,
  "e_form_mev_per_atom": -105,
  "spacegroup": "No. 123"
}

=====

# 6
{
  "formula": "Y2GaHRh6",
  "functional": "PBE",
  "state": "relaxed",
  "lattice": [[6.101, 0.001, 0.018], [0.001, 6.101, 0.018], [3.064, 3.064, 4.321]],
  "species": ["Rh", "Ga", "Rh", "Rh", "Rh", "Y", "H", "Y", "Rh", "Rh"],
  "fractional_positions": [[0.273, 0.273, 0.450], [0.000, 0.000, 0.000], [0.727, 0.727, 0.997], [0.727, 0.727, 0.550], [0.725, 0.275, 0.000], [0.252, 0.748, 0.500], [0.500, 0.500, 0.000], [0.748, 0.252, 0.500], [0.273, 0.273, 0.003], [0.275, 0.725, 0.000]],
  "energy_ev_per_atom": -6.843,
  "m_tot_mub_per_fu": 0.000,
  "spacegroup": "No. 12"
}

=====

# 7
{
  "formula": "LiRu2Cl",
  "functional": "PBE",
  "state": "relaxed",
  "lattice": [[5.205, 0.010, 0.001], [2.509, 4.560, -0.001], [-3.289, -3.243, 2.399]],
  "species": ["Ru", "Cl", "Li", "Ru"],
  "fractional_positions": [[0.738, 0.238, 0.500], [0.513, 0.513, 0.000], [0.271, 0.771, 0.500], [0.978, 0.978, 0.000]],
  "e_above_lowest_polymorph_mev_per_atom": 538,
  "m_tot_mub_per_fu": 0.001,
  "spacegroup": "No. 44",
  "formation_energy_uncorrected_ev_per_fu": 1.9
}

=====

# 8
{
  "formula": "Pm3SmAu2",
  "functional": "PBE",
  "state": "relaxed",
  "lattice": [[5.097, 0.000, 0.000], [0.000, 7.246, 0.000], [0.000, 0.000, 9.239]],
  "species": ["Pm", "Au", "Au", "Pm", "Sm", "Pm", "Au", "Pm", "Pm", "Sm", "Au", "Pm"],
  "fractional_positions": [[0.500, 0.152, 0.835], [0.000, 0.260, 0.653], [0.500, 0.739, 0.845], [0.000, 0.848, 0.665], [0.500, 0.508, 0.574], [0.000, 0.992, 0.074], [0.500, 0.239, 0.155], [0.000, 0.348, 0.335], [0.500, 0.652, 0.165], [0.500, 0.008, 0.426], [0.000, 0.760, 0.347], [0.000, 0.492, 0.926]],
  "e_above_lowest_polymorph_mev_per_atom": 0,
  "m_tot_mub_per_fu": 0.000,
  "e_form_mev_per_atom": -569,
  "spacegroup": "No. 26"
}

=====

# 9
{
  "formula": "Rb2SrSn2S4",
  "functional": "PBE",
  "state": "relaxed",
  "lattice": [[-2.200, 2.925, 1.979], [3.698, -4.860, 6.920], [4.948, 6.040, -3.429]],
  "species": ["Rb", "S", "S", "S", "S", "Sn", "Rb", "Sr", "Sn"],
  "fractional_positions": [[0.117, 0.234, 0.545], [0.819, 0.637, 0.761], [0.181, 0.363, 0.239], [0.455, 0.910, 0.203], [0.545, 0.090, 0.797], [0.691, 0.382, 0.050], [0.883, 0.766, 0.455], [0.000, 0.000, 0.000], [0.309, 0.618, 0.950]],
  "m_tot_mub_per_fu": 0.000,
  "spacegroup": "No. 12",
  "formation_energy_uncorrected_ev_per_fu": -9.7
}

=====

# 10
{
  "formula": "Zn3I2Br4",
  "functional": "PBE",
  "state": "relaxed",
  "lattice": [[-3.742, -0.425, 1.439], [3.988, -3.568, -1.951], [29.777, -22.645, 7.989]],
  "species": ["Br", "Br", "Br", "Zn", "I", "Br", "Zn", "I", "Zn"],
  "fractional_positions": [[0.724, 0.145, 0.261], [0.697, 0.839, 0.400], [0.818, 0.922, 0.600], [0.263, 0.129, 0.000], [0.746, 0.653, 0.082], [0.790, 0.615, 0.739], [0.304, 0.518, 0.670], [0.780, 0.104, 0.917], [0.211, 0.742, 0.331]],
  "m_tot_mub_per_fu": 0.000,
  "spacegroup": "No. 1",
  "formation_energy_uncorrected_ev_per_fu": -6.9
}

=====

# 11
{
  "formula": "Ac2Si3Pt9",
  "functional": "PBE",
  "state": "relaxed",
  "lattice": [[7.202, -0.037, -2.938], [-4.266, 6.503, -0.064], [0.349, 0.148, 10.563]],
  "species": ["Si", "Pt", "Pt", "Ac", "Ac", "Pt", "Pt", "Si", "Pt", "Si", "Pt", "Pt", "Si", "Pt", "Pt", "Pt", "Pt", "Ac", "Pt", "Pt", "Pt", "Si", "Ac", "Pt", "Pt", "Si", "Pt", "Pt"],
  "fractional_positions": [[0.500, 0.000, 0.000], [0.865, 0.858, 0.566], [0.856, 0.001, 0.048], [0.992, 0.590, 0.749], [0.341, 0.244, 0.751], [0.885, 0.135, 0.750], [0.792, 0.299, 0.934], [0.143, 0.823, 0.493], [0.562, 0.357, 0.069], [0.170, 0.350, 0.993], [0.208, 0.701, 0.066], [0.788, 0.493, 0.431], [0.857, 0.177, 0.507], [0.547, 0.192, 0.548], [0.438, 0.643, 0.931], [0.560, 0.091, 0.276], [0.115, 0.865, 0.250], [0.659, 0.756, 0.249], [0.315, 0.284, 0.224], [0.453, 0.808, 0.452], [0.135, 0.142, 0.434], [0.500, 0.500, 0.500], [0.008, 0.410, 0.251], [0.685, 0.716, 0.776], [0.440, 0.909, 0.724], [0.830, 0.650, 0.007], [0.144, 0.999, 0.952], [0.212, 0.507, 0.569]],
  "m_tot_mub_per_fu": 0.000,
  "spacegroup": "No. 15",
  "formation_energy_uncorrected_ev_per_fu": -11.2
}

=====

# 12
{
  "formula": "Pm2AuO",
  "functional": "PBE",
  "state": "relaxed",
  "lattice": [[3.180, 0.000, 0.000], [0.000, 3.180, 0.000], [0.000, 0.000, 7.664]],
  "species": ["O", "Pm", "Au", "Pm"],
  "fractional_positions": [[0.500, 0.500, 0.000], [0.000, 0.000, 0.790], [0.500, 0.500, 0.500], [0.000, 0.000, 0.210]],
  "e_above_lowest_polymorph_mev_per_atom": 367,
  "m_tot_mub_per_fu": 0.000,
  "spacegroup": "No. 123",
  "formation_energy_uncorrected_ev_per_fu": -4.9
}